VASP calculation (PBE) on a relaxed Ho8MgTl2 crystal.

Unit cell a=8.832 b=14.964 c=5.545 alpha=90.00 beta=114.50 gamma=90.00
Space group C2/m (No. 12)
Inequivalent atoms, fractional coordinates:
Ho: 0.000 0.217 0.000
Ho: 0.101 0.500 0.803
Ho: 0.212 0.114 0.615
Mg: 0.000 0.000 0.000
Tl: 0.000 0.305 0.500

Summary:
Calculated formation energy, kJ/mol of atoms: -0.5
Density of states at the Fermi level, states/eV/cell: 27.55
V, Å³ per cell: 666.77
M_tot, μB/f.u.: 0.00